# 1
# NpAl11Tc

A geometry-optimized NpAl11Tc structure (PBE-GGA, Alexandria).

```
NpAl11Tc
1.0
0.171 -3.074 -4.254
6.452 -0.094 -2.831
1.617 -6.509 1.527
Al Tc Np
11 1 1
Cartesian
0.894 -4.792 -1.363
1.806 -2.289 -1.516
0.808 -3.254 0.764
5.263 -5.440 -2.370
2.977 -4.237 -3.188
2.771 -6.681 -1.545
4.705 -2.369 -1.371
3.226 -0.047 -1.416
3.535 -7.309 -4.187
6.434 -7.388 -4.042
5.469 -2.997 -4.013
3.312 -1.584 -3.543
0.000 0.000 0.000
```

Summary:
As for the space-group type: C2/m (12). The calculation puts the total magnetization at 4.25 μB per cell. The calculation puts the density of states at the Fermi level at 0.95 states/eV/atom. For the formation energy, the calculation gives -159 meV/atom.

# 2
# La12NdHo3

A geometry-optimized La12NdHo3 structure (PBE-GGA, Alexandria).

```
La12NdHo3
1.0
-3.769 -3.456 -1.013
0.836 -2.265 4.620
-14.014 12.715 8.769
La Ho Nd
12 3 1
Cartesian
-8.331 6.805 7.784
-8.474 3.497 6.188
-7.150 3.050 2.789
-11.821 9.972 9.968
-4.848 3.645 5.605
-10.633 6.210 4.968
-4.989 0.335 4.007
-14.123 9.377 7.152
-1.467 -2.860 1.804
-3.660 -0.117 0.605
-11.959 6.659 8.369
-1.358 0.478 3.421
-10.492 9.520 6.566
-7.007 6.358 4.385
-3.522 3.195 2.204
0.000 0.000 0.000
```

Summary:
As for the space-group type: P4/mmm (123). The calculation puts the total magnetization at 0.00 μB per cell. The calculation puts the density of states at the Fermi level at 1.44 states/eV/atom. For the formation energy, the calculation gives 8 meV/atom.

# 3
# Si2IrRu

A geometry-optimized Si2IrRu structure (PBE-GGA, Alexandria).

```
Si2IrRu
1.0
-2.137 3.058 -2.685
-0.302 1.510 -4.331
-3.319 -2.221 -1.611
Ir Si Ru
1 2 1
Cartesian
-3.096 0.969 -4.364
-2.637 4.429 -7.107
-4.142 1.869 -6.376
-1.201 0.820 -2.110
```

Summary:
As for the space-group type: Cm (8). The calculation puts the total magnetization at 0.00 μB per cell. The calculation puts the density of states at the Fermi level at 0.35 states/eV/atom. The energy relative to the elements, uncorrected is -0.590 eV/atom.

Number 1: calculated volume 219.2 Å³ per cell. Number 2: calculated volume 566.7 Å³ per cell. Number 3: calculated volume 53.0 Å³ per cell.